{"formula": "MgZnFeBi", "functional": "PBE-GGA", "state": "relaxed", "lattice": [[0.000, 3.408, 3.408], [3.408, 0.000, 3.408], [3.408, 3.408, 0.000]], "species": ["Zn", "Bi", "Mg", "Fe"], "fractional_positions": [[0.250, 0.250, 0.250], [0.000, 0.000, 0.000], [0.500, 0.500, 0.500], [0.750, 0.750, 0.750]], "relative_energy_mev_per_atom": 0.0, "crystal_system": "cubic"}

{"formula": "BaNdAsO", "functional": "PBE-GGA", "state": "relaxed", "lattice": [[4.966, 0.000, 0.000], [0.000, 4.966, 0.000], [0.000, 0.000, 10.143]], "species": ["Ba", "Ba", "As", "As", "O", "O", "Nd", "Nd"], "fractional_positions": [[0.750, 0.750, 0.909], [0.250, 0.250, 0.091], [0.250, 0.250, 0.651], [0.750, 0.750, 0.349], [0.250, 0.750, 0.000], [0.750, 0.250, 0.000], [0.750, 0.250, 0.500], [0.250, 0.750, 0.500]], "relative_energy_mev_per_atom": 547.9, "crystal_system": "tetragonal"}

{"formula": "RbCuSnSe3", "functional": "PBE-GGA", "state": "relaxed", "lattice": [[1.976, -7.700, 0.000], [1.976, 7.700, 0.000], [0.000, 0.000, 10.861]], "species": ["Se", "Se", "Se", "Se", "Se", "Se", "Rb", "Rb", "Cu", "Cu", "Sn", "Sn"], "fractional_positions": [[0.879, 0.121, 0.446], [0.445, 0.555, 0.750], [0.879, 0.121, 0.054], [0.121, 0.879, 0.554], [0.121, 0.879, 0.946], [0.555, 0.445, 0.250], [0.757, 0.243, 0.750], [0.243, 0.757, 0.250], [0.042, 0.958, 0.750], [0.958, 0.042, 0.250], [0.500, 0.500, 0.000], [0.500, 0.500, 0.500]], "relative_energy_mev_per_atom": 41.2, "crystal_system": "orthorhombic"}